Entry from Alexandria via LeMat-Bulk: crystalline Pm3Al2NiO9 at its relaxed geometry (PBE+U).

ρ = 7.1 Mg/m³
energy = -110.9 eV for the cell shown
spin magnetization = 0.07 μB/atom

```
data_Pm3Al2NiO9
_cell_length_a 5.3377
_cell_length_b 5.3377
_cell_length_c 6.5682
_cell_angle_alpha 90.00
_cell_angle_beta 90.00
_cell_angle_gamma 120.00
_symmetry_space_group_name_H-M 'P -3 m 1'
_symmetry_Int_Tables_number 164
_symmetry_space_group_name_Hall '-P 3 2"'
loop_
_atom_site_label
_atom_site_fract_x
_atom_site_fract_y
_atom_site_fract_z
Pm1 0.0000 0.0000 0.0000
Pm2 0.3333 0.6667 0.6557
Al1 0.3333 0.6667 0.1575
Ni1 0.0000 0.0000 0.5000
O1 0.0000 0.5000 0.0000
O2 0.1705 0.3411 0.3313
```